[1]
! PIrPtCl2, optimized geometry, DFT PBE; values from VASP
! E_form (uncorrected): 1.1694 eV/atom
! Theoretical density: 7.519 g/cm³
! SG: P4/mmm, No. 123
! Energy relative to the lowest polymorph listed for this composition: 0.323 eV per atom
! DFT total energy: -3.632 eV per atom
! N(E_F): 6.73 states/eV/f.u.
! Size of the total moment: 2.27 μB per cell
&SYSTEM
  ibrav = 0, nat = 5, ntyp = 4
/
ATOMIC_SPECIES
P 30.97 P.upf
Ir 192.22 Ir.upf
Pt 195.08 Pt.upf
Cl 35.45 Cl.upf
CELL_PARAMETERS angstrom
4.7966 0.0000 0.0000
0.0000 4.7966 0.0000
0.0000 0.0000 4.6953
ATOMIC_POSITIONS angstrom
P 0.0000 0.0000 2.3477
Ir 2.3983 2.3983 2.3477
Pt 0.0000 0.0000 0.0000
Cl 0.0000 2.3983 0.0000
Cl 2.3983 0.0000 0.0000


[2]
! PIrPtCl2, optimized geometry, DFT PBE; values from VASP
! E_form (uncorrected): 0.8462 eV/atom
! Theoretical density: 7.732 g/cm³
! SG: P4/mmm, No. 123
! Energy relative to the lowest polymorph listed for this composition: 0.000 eV per atom
! DFT total energy: -3.955 eV per atom
! N(E_F): 6.31 states/eV/f.u.
! Size of the total moment: 0.00 μB per cell
&SYSTEM
  ibrav = 0, nat = 5, ntyp = 4
/
ATOMIC_SPECIES
P 30.97 P.upf
Ir 192.22 Ir.upf
Pt 195.08 Pt.upf
Cl 35.45 Cl.upf
CELL_PARAMETERS angstrom
4.8260 0.0000 0.0000
0.0000 4.8260 0.0000
0.0000 0.0000 4.5106
ATOMIC_POSITIONS angstrom
P 0.0000 0.0000 2.2553
Ir 0.0000 0.0000 0.0000
Pt 2.4130 2.4130 2.2553
Cl 0.0000 2.4130 0.0000
Cl 2.4130 0.0000 0.0000


[3]
! P2IrPtCl, optimized geometry, DFT PBE; values from VASP
! E_form (uncorrected): 0.8495 eV/atom
! Theoretical density: 8.071 g/cm³
! SG: P4/mmm, No. 123
! Energy relative to the lowest polymorph listed for this composition: 0.000 eV per atom
! DFT total energy: -4.664 eV per atom
! N(E_F): 5.09 states/eV/f.u.
! Size of the total moment: 0.00 μB per cell
&SYSTEM
  ibrav = 0, nat = 5, ntyp = 4
/
ATOMIC_SPECIES
P 30.97 P.upf
Ir 192.22 Ir.upf
Pt 195.08 Pt.upf
Cl 35.45 Cl.upf
CELL_PARAMETERS angstrom
-1.2649 2.6257 3.4984
3.2703 -1.8508 2.5715
3.0685 3.4089 -1.4490
ATOMIC_POSITIONS angstrom
P 1.6351 -0.9254 1.2858
P -0.6325 1.3128 1.7492
Ir 0.0000 0.0000 0.0000
Pt 2.5369 2.0919 2.3105
Cl 1.5343 1.7044 -0.7245


[4]
! TiPIrPtCl, optimized geometry, DFT PBE; values from VASP
! E_form (uncorrected): -0.5680 eV/atom
! Theoretical density: 7.475 g/cm³
! SG: Pm, No. 6
! Energy relative to the lowest polymorph listed for this composition: 0.094 eV per atom
! DFT total energy: -6.579 eV per atom
! N(E_F): 2.60 states/eV/f.u.
! Size of the total moment: 0.00 μB per cell
&SYSTEM
  ibrav = 0, nat = 5, ntyp = 5
/
ATOMIC_SPECIES
Ti 47.87 Ti.upf
P 30.97 P.upf
Ir 192.22 Ir.upf
Pt 195.08 Pt.upf
Cl 35.45 Cl.upf
CELL_PARAMETERS angstrom
-3.6389 0.0103 -4.0501
0.8329 -3.0535 -0.7561
-3.4557 -2.1767 4.9839
ATOMIC_POSITIONS angstrom
Ti -3.1284 -1.7293 -3.4653
P -1.9724 -1.9543 -1.2829
Ir -4.0231 -0.7825 -1.2717
Pt -1.9984 -0.7230 0.7184
Cl -5.7144 -1.7392 0.7288


[5]
! TiPIrPtCl, optimized geometry, DFT PBE; values from VASP
! E_form (uncorrected): -0.6070 eV/atom
! Theoretical density: 7.843 g/cm³
! SG: P1, No. 1
! Energy relative to the lowest polymorph listed for this composition: 0.055 eV per atom
! DFT total energy: -6.618 eV per atom
! N(E_F): 2.36 states/eV/f.u.
! Size of the total moment: 0.00 μB per cell
&SYSTEM
  ibrav = 0, nat = 5, ntyp = 5
/
ATOMIC_SPECIES
Ti 47.87 Ti.upf
P 30.97 P.upf
Ir 192.22 Ir.upf
Pt 195.08 Pt.upf
Cl 35.45 Cl.upf
CELL_PARAMETERS angstrom
-2.5788 -0.3416 1.3405
-2.2629 -3.1587 -1.9828
2.6511 -6.6710 5.2675
ATOMIC_POSITIONS angstrom
Ti -0.7260 -1.2477 -0.3457
P -1.3647 -5.5716 0.4768
Ir -0.9229 -3.6445 1.8347
Pt -3.3559 -3.9534 0.2640
Cl -0.1567 -6.9608 4.3529


[6]
! TiPIrPtCl, optimized geometry, DFT PBE; values from VASP
! E_form (uncorrected): -0.4768 eV/atom
! Theoretical density: 5.821 g/cm³
! SG: P1, No. 1
! Energy relative to the lowest polymorph listed for this composition: 0.185 eV per atom
! DFT total energy: -6.487 eV per atom
! N(E_F): 1.10 states/eV/f.u.
! Size of the total moment: 0.00 μB per cell
&SYSTEM
  ibrav = 0, nat = 5, ntyp = 5
/
ATOMIC_SPECIES
Ti 47.87 Ti.upf
P 30.97 P.upf
Ir 192.22 Ir.upf
Pt 195.08 Pt.upf
Cl 35.45 Cl.upf
CELL_PARAMETERS angstrom
-0.9544 1.5670 -3.1851
-4.3197 -3.2216 -0.2912
-3.7639 4.7254 3.9673
ATOMIC_POSITIONS angstrom
Ti -1.9431 0.4695 -1.1705
P -4.6876 -0.0835 -0.6199
Ir -3.0890 -0.1095 1.0096
Pt -5.3152 -1.7644 0.8623
Cl -4.5125 3.7033 1.6949


[7]
! TiPIrPtCl, optimized geometry, DFT PBE; values from VASP
! E_form (uncorrected): -0.6616 eV/atom
! Theoretical density: 7.916 g/cm³
! SG: P1, No. 1
! Energy relative to the lowest polymorph listed for this composition: 0.000 eV per atom
! DFT total energy: -6.672 eV per atom
! N(E_F): 3.58 states/eV/f.u.
! Size of the total moment: 0.00 μB per cell
&SYSTEM
  ibrav = 0, nat = 5, ntyp = 5
/
ATOMIC_SPECIES
Ti 47.87 Ti.upf
P 30.97 P.upf
Ir 192.22 Ir.upf
Pt 195.08 Pt.upf
Cl 35.45 Cl.upf
CELL_PARAMETERS angstrom
-0.5994 -3.2056 -1.5234
-1.5261 -2.6424 1.9101
-9.1340 1.0166 -2.7195
ATOMIC_POSITIONS angstrom
Ti -0.2231 -0.8248 -0.3252
P -4.6865 -1.4913 -1.4191
Ir -4.7551 -2.4404 0.6059
Pt -2.8650 -4.3045 -0.4667
Cl -8.6272 -2.2497 -2.4468


[8]
! TiPIrPtCl, optimized geometry, DFT PBE; values from VASP
! E_form (uncorrected): -0.6553 eV/atom
! Theoretical density: 8.747 g/cm³
! SG: Pm, No. 6
! Energy relative to the lowest polymorph listed for this composition: 0.006 eV per atom
! DFT total energy: -6.666 eV per atom
! N(E_F): 2.14 states/eV/f.u.
! Size of the total moment: 0.00 μB per cell
&SYSTEM
  ibrav = 0, nat = 5, ntyp = 5
/
ATOMIC_SPECIES
Ti 47.87 Ti.upf
P 30.97 P.upf
Ir 192.22 Ir.upf
Pt 195.08 Pt.upf
Cl 35.45 Cl.upf
CELL_PARAMETERS angstrom
-0.7715 2.5978 -1.0705
-2.8778 -0.1359 1.7442
4.7009 3.1512 8.0019
ATOMIC_POSITIONS angstrom
Ti 2.5931 5.1089 7.9282
P 2.4826 1.9258 4.2463
Ir 1.1107 3.6136 5.3658
Pt 3.8092 3.2641 6.5394
Cl -0.8854 1.5035 1.9078


Number 4 is which compound?
TiPIrPtCl